No. 1
First-principles (PBE-GGA) data for a relaxed structure of Ho3Mg, as listed in Alexandria via LeMat-Bulk.

Values from the calculation:
The formation energy comes out at 0.01 eV per atom. For the offset from the most stable computed form, the calculation gives 24 meV per atom. The final energy is -3.823 eV/atom.

```
Ho3Mg
1.0
6.980 0.000 0.000
-3.490 6.045 0.000
0.000 0.000 5.531
Ho Mg
6 2
Cartesian
0.000 2.051 1.383
-1.714 5.020 1.383
1.776 1.026 4.148
1.714 5.020 1.383
5.204 1.026 4.148
3.490 3.994 4.148
0.000 4.030 4.148
3.490 2.015 1.383
```

No. 2
First-principles (PBE-GGA) data for a relaxed structure of Ho3Mg, as listed in Alexandria via LeMat-Bulk.

Values from the calculation:
The formation energy comes out at 0.03 eV per atom. For the offset from the most stable computed form, the calculation gives 44 meV per atom. The final energy is -3.802 eV/atom.

```
Ho3Mg
1.0
4.881 0.000 0.000
0.000 4.881 0.000
0.000 0.000 4.881
Ho Mg
3 1
Cartesian
0.000 0.000 2.441
0.000 2.441 0.000
2.441 0.000 0.000
2.441 2.441 2.441
```

No. 3
First-principles (PBE-GGA) data for a relaxed structure of Ho3Mg, as listed in Alexandria via LeMat-Bulk.

Values from the calculation:
The formation energy comes out at 0.06 eV per atom. For the offset from the most stable computed form, the calculation gives 71 meV per atom. The final energy is -3.776 eV/atom.

```
Ho3Mg
1.0
0.000 3.867 3.867
3.867 0.000 3.867
3.867 3.867 0.000
Ho Mg
3 1
Cartesian
0.000 0.000 0.000
1.934 1.934 1.934
5.801 5.801 5.801
3.867 3.867 3.867
```

No. 4
First-principles (PBE-GGA) data for a relaxed structure of Ho4Mg3, as listed in Alexandria via LeMat-Bulk.

Values from the calculation:
The formation energy comes out at 0.21 eV per atom. The final energy is -3.091 eV/atom.

```
Ho4Mg3
1.0
-4.694 4.694 4.694
4.694 -4.694 4.694
4.694 4.694 -4.694
Ho Mg
8 6
Cartesian
3.076 1.618 -1.618
5.423 -0.729 0.729
1.618 -1.618 3.076
1.618 1.618 1.618
-1.618 3.076 1.618
0.729 5.423 -0.729
-0.729 0.729 5.423
3.965 3.965 3.965
4.694 -2.347 3.520
3.520 4.694 -2.347
4.694 2.347 1.173
2.347 1.173 4.694
1.173 4.694 2.347
-2.347 3.520 4.694
```

The highest final energy belongs to which entry?
Ho4Mg3

Which of these has the highest final energy?
Ho4Mg3